(1)
{
  "formula": "Ti2ZnHg2",
  "functional": "PBE-GGA",
  "state": "optimized geometry",
  "e_form_ev_per_atom": 0.170,
  "e_above_lowest_polymorph_ev_per_fu": 0.000,
  "final_energy_ev_per_atom": -3.364,
  "m_tot_mub_per_cell": 0.00,
  "lattice": [[6.978, 0.000, 0.000], [0.000, 6.978, 0.000], [0.000, 0.000, 3.964]],
  "species": ["Ti", "Ti", "Ti", "Ti", "Zn", "Zn", "Hg", "Hg", "Hg", "Hg"],
  "fractional_positions": [[0.160, 0.340, 0.000], [0.340, 0.840, 0.000], [0.660, 0.160, 0.000], [0.840, 0.660, 0.000], [0.000, 0.000, 0.500], [0.500, 0.500, 0.500], [0.144, 0.644, 0.500], [0.356, 0.144, 0.500], [0.644, 0.856, 0.500], [0.856, 0.356, 0.500]]
}

***

(2)
{
  "formula": "Tb4AlSeS2",
  "functional": "PBE-GGA",
  "state": "optimized geometry",
  "raw_formation_energy_kcal_per_mol_atoms": -34.43,
  "final_energy_ev_per_atom": -5.743,
  "m_tot_mub_per_cell": 0.00,
  "lattice": [[7.099, 0.000, 0.000], [0.000, 3.949, 0.000], [-2.251, 0.000, 6.739]],
  "species": ["Tb", "Tb", "Tb", "Tb", "Al", "Se", "S", "S"],
  "fractional_positions": [[0.236, 0.000, 0.243], [0.237, 0.500, 0.741], [0.763, 0.500, 0.259], [0.764, 0.000, 0.757], [0.500, 0.500, 0.500], [0.500, 0.000, 0.000], [0.000, 0.000, 0.500], [0.000, 0.500, 0.000]]
}

***

(3)
{
  "formula": "TaReAg2",
  "functional": "PBE-GGA",
  "state": "optimized geometry",
  "e_form_ev_per_atom": 0.223,
  "e_above_lowest_polymorph_ev_per_fu": 0.000,
  "final_energy_ev_per_atom": -7.278,
  "m_tot_mub_per_cell": 0.00,
  "lattice": [[1.604, -2.294, 0.000], [1.604, 2.294, 0.000], [0.000, 0.000, 9.354]],
  "species": ["Ta", "Re", "Ag", "Ag"],
  "fractional_positions": [[0.000, 0.000, 0.000], [0.500, 0.500, 0.774], [0.000, 0.000, 0.517], [0.500, 0.500, 0.260]]
}

***

(4)
{
  "formula": "AlReSi",
  "functional": "PBE-GGA",
  "state": "optimized geometry",
  "raw_formation_energy_kcal_per_mol_atoms": 3.34,
  "final_energy_ev_per_atom": -7.060,
  "m_tot_mub_per_cell": 0.00,
  "lattice": [[0.000, 2.917, 2.917], [2.917, 0.000, 2.917], [2.917, 2.917, 0.000]],
  "species": ["Al", "Re", "Si"],
  "fractional_positions": [[0.000, 0.000, 0.000], [0.250, 0.250, 0.250], [0.500, 0.500, 0.500]]
}

***

(5)
{
  "formula": "InSn2RhCl",
  "functional": "PBE-GGA",
  "state": "optimized geometry",
  "raw_formation_energy_kcal_per_mol_atoms": 10.11,
  "e_above_lowest_polymorph_ev_per_fu": 4.018,
  "final_energy_ev_per_atom": -3.550,
  "m_tot_mub_per_cell": 0.00,
  "lattice": [[5.490, 0.000, 0.000], [0.000, 5.490, 0.000], [0.000, 0.000, 4.435]],
  "species": ["In", "Sn", "Sn", "Rh", "Cl"],
  "fractional_positions": [[0.000, 0.000, 0.000], [0.000, 0.500, 0.500], [0.500, 0.000, 0.500], [0.500, 0.500, 0.000], [0.500, 0.500, 0.500]]
}

***

(6)
{
  "formula": "HoScGaTc",
  "functional": "PBE-GGA",
  "state": "optimized geometry",
  "e_form_ev_per_atom": -0.319,
  "final_energy_ev_per_atom": -6.395,
  "m_tot_mub_per_cell": 0.00,
  "lattice": [[0.000, 3.390, 3.390], [3.390, 0.000, 3.390], [3.390, 3.390, 0.000]],
  "species": ["Ho", "Sc", "Ga", "Tc"],
  "fractional_positions": [[0.000, 0.000, 0.000], [0.500, 0.500, 0.500], [0.750, 0.750, 0.750], [0.250, 0.250, 0.250]]
}

***

Number 5 is which compound?
InSn2RhCl